(1)
Compound: Y12InRh6
Source: the Alexandria database
Functional: PBE-GGA
Structure: relaxed

Results
Symmetry ... Im-3 (204)
Uncorrected energy ... -135.7 eV per cell
Energy of formation ... -0.5954 eV per atom
Calculated volume ... 488.2 Å³/f.u.

Structure (CIF):
```
data_Y12InRh6
_symmetry_space_group_name_H-M 'P 1'
_symmetry_Int_Tables_number 1
_cell_length_a 8.591
_cell_length_b 8.591
_cell_length_c 8.591
_cell_angle_alpha 109.47
_cell_angle_beta 109.47
_cell_angle_gamma 109.47
loop_
_symmetry_equiv_pos_as_xyz
'x,y,z'
loop_
_atom_site_label
_atom_site_fract_x
_atom_site_fract_y
_atom_site_fract_z
Rh1 0.500 0.872 0.372
Rh2 0.628 0.500 0.128
Rh3 0.128 0.628 0.500
Rh4 0.500 0.128 0.628
Rh5 0.872 0.372 0.500
Rh6 0.372 0.500 0.872
Y1 0.891 0.191 0.701
Y2 0.701 0.510 0.809
Y3 0.701 0.891 0.191
Y4 0.191 0.701 0.891
Y5 0.191 0.299 0.490
Y6 0.299 0.490 0.191
Y7 0.490 0.191 0.299
Y8 0.809 0.299 0.109
Y9 0.299 0.109 0.809
Y10 0.109 0.809 0.299
Y11 0.510 0.809 0.701
Y12 0.809 0.701 0.510
In1 0.000 0.000 0.000
```

(2)
Compound: Y4InRh2
Source: the Alexandria database
Functional: PBE-GGA
Structure: relaxed

Results
Symmetry ... Cc (9)
Uncorrected energy ... -95.1 eV per cell
Energy of formation ... -0.6061 eV per atom
Calculated volume ... 175.7 Å³/f.u.

Structure (CIF):
```
data_Y4InRh2
_symmetry_space_group_name_H-M 'P 1'
_symmetry_Int_Tables_number 1
_cell_length_a 8.592
_cell_length_b 8.592
_cell_length_c 7.022
_cell_angle_alpha 107.96
_cell_angle_beta 107.96
_cell_angle_gamma 120.27
loop_
_symmetry_equiv_pos_as_xyz
'x,y,z'
loop_
_atom_site_label
_atom_site_fract_x
_atom_site_fract_y
_atom_site_fract_z
Rh1 0.490 0.411 0.625
Rh2 0.801 0.900 0.445
Rh3 0.661 0.240 0.125
Rh4 0.150 0.551 0.945
Y1 0.762 0.169 0.779
Y2 0.497 0.772 0.915
Y3 0.883 0.557 0.606
Y4 0.022 0.247 0.415
Y5 0.270 0.100 0.727
Y6 0.350 0.020 0.227
Y7 0.419 0.512 0.279
Y8 0.807 0.633 0.106
In1 0.201 0.687 0.403
In2 0.937 0.951 0.903
```

(3)
Compound: Y6In3Rh
Source: the Alexandria database
Functional: PBE-GGA
Structure: relaxed

Results
Symmetry ... P2_1/m (11)
Uncorrected energy ... -117.8 eV per cell
Energy of formation ... -0.4571 eV per atom
Calculated volume ... 265.8 Å³/f.u.
E above lowest polymorph ... 0 meV/atom

Structure (CIF):
```
data_Y6In3Rh
_symmetry_space_group_name_H-M 'P 1'
_symmetry_Int_Tables_number 1
_cell_length_a 5.302
_cell_length_b 9.232
_cell_length_c 11.411
_cell_angle_alpha 107.86
_cell_angle_beta 90.00
_cell_angle_gamma 90.00
loop_
_symmetry_equiv_pos_as_xyz
'x,y,z'
loop_
_atom_site_label
_atom_site_fract_x
_atom_site_fract_y
_atom_site_fract_z
Y1 0.750 0.778 0.502
Y2 0.750 0.898 0.145
Y3 0.250 0.102 0.855
Y4 0.250 0.458 0.084
Y5 0.250 0.130 0.159
Y6 0.750 0.870 0.841
Y7 0.250 0.222 0.498
Y8 0.750 0.542 0.916
Y9 0.750 0.151 0.674
Y10 0.250 0.849 0.326
Y11 0.250 0.685 0.666
Y12 0.750 0.315 0.334
In1 0.250 0.513 0.379
In2 0.750 0.487 0.621
In3 0.750 0.598 0.217
In4 0.250 0.402 0.783
In5 0.750 0.222 0.024
In6 0.250 0.778 0.976
Rh1 0.750 0.042 0.407
Rh2 0.250 0.958 0.593
```

> The highest calculated volume belongs to which entry?

Y12InRh6

> Among the records above, which one has the lowest energy of formation?

Y4InRh2

> The highest energy of formation belongs to which entry?

Y6In3Rh